Entry 1:
Computed, not measured: Nd2Y3Er8 after structural relaxation at the PBE level of DFT.

Geometry as POSCAR:
```
Nd2Y3Er8
1.0
10.3775 -3.7903 0.0000
10.3775 3.7903 0.0000
-0.0012 0.0000 5.5221
Nd Y Er
2 3 8
direct
0.2407 0.2407 0.4995 Nd
0.7593 0.7593 0.5005 Nd
0.0000 0.0000 0.5000 Y
0.2858 0.7142 0.0000 Y
0.7142 0.2858 0.0000 Y
0.1293 0.1293 0.0001 Er
0.1787 0.6057 0.4997 Er
0.3384 0.3384 0.9995 Er
0.3943 0.8213 0.5003 Er
0.6057 0.1787 0.4997 Er
0.6616 0.6616 0.0005 Er
0.8213 0.3943 0.5003 Er
0.8707 0.8707 0.9999 Er
```

Calculated values
Raw total energy: -4.785 eV per atom
Energy of formation: 248 meV/atom

***

Entry 2:
Computed, not measured: Nd3Y7Er after structural relaxation at the PBE level of DFT.

Geometry as POSCAR:
```
Nd3Y7Er
1.0
7.1259 0.0000 0.0000
-3.5630 6.1712 0.0000
0.0000 0.0000 8.7049
Nd Y Er
3 7 1
direct
0.0007 0.5003 0.0000 Nd
0.4997 0.5003 0.0000 Nd
0.4997 0.9993 0.0000 Nd
0.1678 0.3355 0.6619 Y
0.1678 0.8322 0.6619 Y
0.3348 0.1674 0.3356 Y
0.6645 0.8322 0.6619 Y
0.6667 0.3333 0.6617 Y
0.8326 0.1674 0.3356 Y
0.8326 0.6652 0.3356 Y
0.3333 0.6667 0.3372 Er
```

Calculated values
Raw total energy: -5.651 eV per atom
Excess energy over the best structure of this formula in the dataset: 37 meV/atom
Energy of formation: 178 meV/atom

***

Entry 3:
Computed, not measured: Nd3Y2Er3 after structural relaxation at the PBE level of DFT.

Geometry as POSCAR:
```
Nd3Y2Er3
1.0
-2.9793 2.9798 7.4088
2.9793 -2.9798 7.4088
2.9793 2.9798 -7.4088
Nd Y Er
3 2 3
direct
0.0000 0.0000 0.0000 Nd
0.1263 0.6263 0.5000 Nd
0.8737 0.3737 0.5000 Nd
0.2515 0.2515 0.0000 Y
0.7485 0.7485 0.0000 Y
0.3760 0.8760 0.5000 Er
0.5000 0.5000 0.0000 Er
0.6240 0.1240 0.5000 Er
```

Calculated values
Raw total energy: -4.991 eV per atom
Excess energy over the best structure of this formula in the dataset: 102 meV/atom
Energy of formation: 124 meV/atom

***

Entry 4:
Computed, not measured: NdY4Er10 after structural relaxation at the PBE level of DFT.

Geometry as POSCAR:
```
NdY4Er10
1.0
-4.8715 4.8715 5.3985
4.8715 -4.8715 5.3985
4.8715 4.8715 -5.3985
Nd Y Er
1 4 10
direct
0.0000 0.0000 0.0000 Nd
0.2067 0.4436 0.6503 Y
0.4436 0.7933 0.2369 Y
0.5564 0.2067 0.7631 Y
0.7933 0.5564 0.3497 Y
0.0480 0.3892 0.0993 Er
0.0513 0.9520 0.3413 Er
0.2500 0.7500 0.5000 Er
0.2899 0.9487 0.9007 Er
0.3892 0.2899 0.3413 Er
0.6108 0.7101 0.6587 Er
0.7101 0.0513 0.0993 Er
0.7500 0.2500 0.5000 Er
0.9487 0.0480 0.6587 Er
0.9520 0.6108 0.9007 Er
```

Calculated values
Raw total energy: -4.616 eV per atom
Energy of formation: 468 meV/atom

***

Entry 5:
Computed, not measured: NdY4Er15 after structural relaxation at the PBE level of DFT.

Geometry as POSCAR:
```
NdY4Er15
1.0
4.9898 0.0000 0.0000
0.0000 4.9898 0.0000
0.0000 0.0000 24.9441
Nd Y Er
1 4 15
direct
0.0000 0.0000 0.0000 Nd
0.0000 0.0000 0.2006 Y
0.0000 0.0000 0.4003 Y
0.0000 0.0000 0.5997 Y
0.0000 0.0000 0.7994 Y
0.0000 0.5000 0.1010 Er
0.0000 0.5000 0.3005 Er
0.0000 0.5000 0.5000 Er
0.0000 0.5000 0.6995 Er
0.0000 0.5000 0.8990 Er
0.5000 0.0000 0.1010 Er
0.5000 0.0000 0.3005 Er
0.5000 0.0000 0.5000 Er
0.5000 0.0000 0.6995 Er
0.5000 0.0000 0.8990 Er
0.5000 0.5000 0.0000 Er
0.5000 0.5000 0.2011 Er
0.5000 0.5000 0.4002 Er
0.5000 0.5000 0.5998 Er
0.5000 0.5000 0.7989 Er
```

Calculated values
Raw total energy: -4.928 eV per atom
Energy of formation: 25 meV/atom

***

Entry 6:
Computed, not measured: Nd8Y3Er3 after structural relaxation at the PBE level of DFT.

Geometry as POSCAR:
```
Nd8Y3Er3
1.0
-2.8430 5.4771 7.5967
2.8430 -5.4771 7.5967
2.8430 5.4771 -7.5967
Nd Y Er
8 3 3
direct
0.0587 0.3962 0.6625 Nd
0.0670 0.2243 0.8427 Nd
0.2664 0.6038 0.6625 Nd
0.3816 0.2243 0.1573 Nd
0.6184 0.7757 0.8427 Nd
0.7336 0.3962 0.3375 Nd
0.9330 0.7757 0.1573 Nd
0.9413 0.6038 0.3375 Nd
0.3214 0.8214 0.5000 Y
0.5000 0.5000 0.0000 Y
0.6786 0.1786 0.5000 Y
0.0000 0.0000 0.0000 Er
0.2995 0.0000 0.2995 Er
0.7005 0.0000 0.7005 Er
```

Calculated values
Raw total energy: -4.988 eV per atom
Energy of formation: 99 meV/atom

***

- Which formula does entry 2 have?
  Nd3Y7Er

***

- What is the raw total energy in the third record?
  -4.991 eV per atom

***

- Among the records above, which one has the highest raw total energy?
  NdY4Er10